Record 1
Computed, not measured: a geometry-optimized B2PdAu structure at the GGA-PBE level of DFT.

Computed properties:
energy of formation	2.48	eV/f.u.
Fermi-level density of states	6.3	states/eV per cell
energy above the lowest structure with this stoichiometry	0.000	eV per atom

Lattice parameters (Å, degrees): 4.9040 4.9040 9.7960 90.00 90.00 90.00
With the nearest neighbours (Å) after each atom.
Positions (direct):
B (0.2363, 0.2500, 0.1250)  2 Pd 2.08, 2 Au 2.16
B (0.2500, 0.7363, 0.3750)  2 Pd 2.08, 2 Au 2.16
B (0.2500, 0.7637, 0.8750)  2 Pd 2.08, 2 Au 2.16
B (0.2637, 0.2500, 0.6250)  2 Pd 2.08, 2 Au 2.16
B (0.7363, 0.7500, 0.6250)  2 Pd 2.08, 2 Au 2.16
B (0.7500, 0.2363, 0.8750)  2 Pd 2.08, 2 Au 2.16
B (0.7500, 0.2637, 0.3750)  2 Pd 2.08, 2 Au 2.16
B (0.7637, 0.7500, 0.1250)  2 Pd 2.08, 2 Au 2.16
Pd (0.0000, 0.0000, 0.0000)  4 B 2.08
Pd (0.0000, 0.5000, 0.2500)  4 B 2.08
Pd (0.5000, 0.0000, 0.7500)  4 B 2.08
Pd (0.5000, 0.5000, 0.5000)  4 B 2.08
Au (0.0000, 0.0000, 0.5000)  4 B 2.16
Au (0.0000, 0.5000, 0.7500)  4 B 2.16
Au (0.5000, 0.0000, 0.2500)  4 B 2.16
Au (0.5000, 0.5000, 0.0000)  4 B 2.16


Record 2
Computed, not measured: a geometry-optimized CeMg6 structure at the GGA-PBE level of DFT.

Computed properties:
energy of formation	0.22	eV/f.u.
Fermi-level density of states	46.1	states/eV per cell
energy above the lowest structure with this stoichiometry	0.000	eV per atom

Lattice parameters (Å, degrees): 9.6778 5.8999 12.2409 90.00 90.00 90.00
With the nearest neighbours (Å) after each atom.
Positions (direct):
Ce (0.2451, 0.2500, 0.0617)  11 Mg 3.39-3.76
Ce (0.2549, 0.7500, 0.5617)  11 Mg 3.39-3.76
Ce (0.7451, 0.2500, 0.4383)  11 Mg 3.39-3.76
Ce (0.7549, 0.7500, 0.9383)  11 Mg 3.39-3.76
Mg (0.0540, 0.7500, 0.0850)  5 Mg 2.99-3.19
Mg (0.0638, 0.0096, 0.3069)  8 Mg 2.84-3.13
Mg (0.0638, 0.4904, 0.3069)  8 Mg 2.84-3.13
Mg (0.0908, 0.2500, 0.5188)  6 Mg 2.97-3.29
Mg (0.1435, 0.7500, 0.8516)  8 Mg 2.99-3.29
Mg (0.1928, 0.2500, 0.7515)  9 Mg 2.89-3.23
Mg (0.3072, 0.7500, 0.2515)  9 Mg 2.89-3.23
Mg (0.3565, 0.2500, 0.3516)  8 Mg 2.99-3.29
Mg (0.4092, 0.7500, 0.0188)  6 Mg 2.97-3.29
Mg (0.4362, 0.5096, 0.8069)  8 Mg 2.84-3.13
Mg (0.4362, 0.9904, 0.8069)  8 Mg 2.84-3.13
Mg (0.4460, 0.2500, 0.5850)  5 Mg 2.99-3.19
Mg (0.5540, 0.7500, 0.4150)  5 Mg 2.99-3.19
Mg (0.5638, 0.0096, 0.1931)  8 Mg 2.84-3.13
Mg (0.5638, 0.4904, 0.1931)  8 Mg 2.84-3.13
Mg (0.5908, 0.2500, 0.9812)  6 Mg 2.97-3.29
Mg (0.6435, 0.7500, 0.6484)  8 Mg 2.99-3.29
Mg (0.6928, 0.2500, 0.7485)  9 Mg 2.89-3.23
Mg (0.8072, 0.7500, 0.2485)  9 Mg 2.89-3.23
Mg (0.8565, 0.2500, 0.1484)  8 Mg 2.99-3.29
Mg (0.9092, 0.7500, 0.4812)  6 Mg 2.97-3.29
Mg (0.9362, 0.5096, 0.6931)  8 Mg 2.84-3.13
Mg (0.9362, 0.9904, 0.6931)  8 Mg 2.84-3.13
Mg (0.9460, 0.2500, 0.9150)  5 Mg 2.99-3.19


Record 3
Computed, not measured: a geometry-optimized La3RuF structure at the GGA-PBE level of DFT.

Computed properties:
Fermi-level density of states	8.1	states/eV per cell
energy relative to the elements, uncorrected	-732	meV/atom
energy above the lowest structure with this stoichiometry	0.000	eV per atom

Lattice parameters (Å, degrees): 4.9732 4.9732 4.9732 90.00 90.00 90.00
With the nearest neighbours (Å) after each atom.
Positions (direct):
La (0.0000, 0.0000, 0.5000)  2 F 2.49
La (0.0000, 0.5000, 0.0000)  2 F 2.49
La (0.5000, 0.0000, 0.0000)  2 F 2.49
Ru (0.5000, 0.5000, 0.5000)  12 La 3.52
F (0.0000, 0.0000, 0.0000)  6 La 2.49


Record 4
Computed, not measured: a geometry-optimized Pm6PdPt3 structure at the GGA-PBE level of DFT.

Computed properties:
energy of formation	-8.17	eV/f.u.
Fermi-level density of states	16.0	states/eV per cell

Lattice parameters (Å, degrees): 6.9659 7.5859 12.7380 90.00 122.24 90.00
With the nearest neighbours (Å) after each atom.
Positions (direct):
Pm (0.0826, 0.0575, 0.2490)  3 Pt 2.93-3.01, 1 Pd 2.99
Pm (0.0826, 0.4425, 0.7490)  3 Pt 2.93-3.01, 1 Pd 2.99
Pm (0.2543, 0.6786, 0.0852)  1 Pd 2.82, 3 Pt 2.86-3.04
Pm (0.2543, 0.8214, 0.5852)  1 Pd 2.82, 3 Pt 2.86-3.04
Pm (0.4098, 0.1761, 0.0807)  3 Pt 2.80-3.09, 1 Pd 2.86
Pm (0.4098, 0.3239, 0.5807)  3 Pt 2.80-3.09, 1 Pd 2.86
Pm (0.5902, 0.6761, 0.4193)  3 Pt 2.80-3.09, 1 Pd 2.86
Pm (0.5902, 0.8239, 0.9193)  3 Pt 2.80-3.09, 1 Pd 2.86
Pm (0.7457, 0.1786, 0.4148)  1 Pd 2.82, 3 Pt 2.86-3.04
Pm (0.7457, 0.3214, 0.9148)  1 Pd 2.82, 3 Pt 2.86-3.04
Pm (0.9174, 0.5575, 0.2510)  3 Pt 2.93-3.01, 1 Pd 2.99
Pm (0.9174, 0.9425, 0.7510)  3 Pt 2.93-3.01, 1 Pd 2.99
Pd (0.5000, 0.0000, 0.5000)  6 Pm 2.82-2.99
Pd (0.5000, 0.5000, 0.0000)  6 Pm 2.82-2.99
Pt (0.0000, 0.0000, 0.0000)  6 Pm 2.80-2.94
Pt (0.0000, 0.5000, 0.5000)  6 Pm 2.80-2.94
Pt (0.3102, 0.1140, 0.7548)  6 Pm 2.93-3.09
Pt (0.3102, 0.3860, 0.2548)  6 Pm 2.93-3.09
Pt (0.6898, 0.6140, 0.7452)  6 Pm 2.93-3.09
Pt (0.6898, 0.8860, 0.2452)  6 Pm 2.93-3.09


Record 5
Computed, not measured: a geometry-optimized La8NiN4 structure at the GGA-PBE level of DFT.

Computed properties:
Fermi-level density of states	16.5	states/eV per cell
energy relative to the elements, uncorrected	-754	meV/atom

Lattice parameters (Å, degrees): 7.7404 7.7404 7.7404 60.00 60.00 60.00
With the nearest neighbours (Å) after each atom.
Positions (direct):
La (0.0849, 0.6384, 0.6384)  3 N 2.56
La (0.1091, 0.1091, 0.1091)  3 N 2.62, 1 Ni 2.67
La (0.1091, 0.1091, 0.6728)  3 N 2.62, 1 Ni 2.67
La (0.1091, 0.6728, 0.1091)  3 N 2.62, 1 Ni 2.67
La (0.6384, 0.0849, 0.6384)  3 N 2.56
La (0.6384, 0.6384, 0.0849)  3 N 2.56
La (0.6384, 0.6384, 0.6384)  3 N 2.56
La (0.6728, 0.1091, 0.1091)  3 N 2.62, 1 Ni 2.67
Ni (0.2500, 0.2500, 0.2500)  4 La 2.67
N (0.3857, 0.8714, 0.8714)  6 La 2.56-2.62
N (0.8714, 0.3857, 0.8714)  6 La 2.56-2.62
N (0.8714, 0.8714, 0.3857)  6 La 2.56-2.62
N (0.8714, 0.8714, 0.8714)  6 La 2.56-2.62


Record 6
Computed, not measured: a geometry-optimized Re2PH structure at the GGA-PBE level of DFT.

Computed properties:
Fermi-level density of states	1.7	states/eV per cell
total energy	-7.921	eV/atom

Lattice parameters (Å, degrees): 4.6042 4.6042 9.9539 90.00 90.00 90.00
With the nearest neighbours (Å) after each atom.
Positions (direct):
Re (0.1390, 0.2500, 0.1250)  2 H 1.81
Re (0.2500, 0.6390, 0.3750)  2 H 1.81
Re (0.2500, 0.8610, 0.8750)  2 H 1.81
Re (0.3610, 0.2500, 0.6250)  2 H 1.81
Re (0.6390, 0.7500, 0.6250)  2 H 1.81
Re (0.7500, 0.1390, 0.8750)  2 H 1.81
Re (0.7500, 0.3610, 0.3750)  2 H 1.81
Re (0.8610, 0.7500, 0.1250)  2 H 1.81
P (0.0000, 0.0000, 0.5000)  4 Re 2.37
P (0.0000, 0.5000, 0.7500)  4 Re 2.37
P (0.5000, 0.0000, 0.2500)  4 Re 2.37
P (0.5000, 0.5000, 0.0000)  4 Re 2.37
H (0.0000, 0.0000, 0.0000)  4 Re 1.81
H (0.0000, 0.5000, 0.2500)  4 Re 1.81
H (0.5000, 0.0000, 0.7500)  4 Re 1.81
H (0.5000, 0.5000, 0.5000)  4 Re 1.81


no.,total moment (μB/f.u.)
1,0.000
2,1.306
3,0.000
4,0.000
5,2.456
6,0.000